# 1
Entry from Alexandria via LeMat-Bulk: crystalline AcTiBeN3 at its relaxed geometry (GGA-PBE).

Cell: 3.2334 6.9299 7.0382 Å, 108.86 90.00 90.00°
Last column: nearest neighbours and their distance in Å.
Fractional coordinates of all 12 atoms:
Ac: 0.2500 0.2132 0.2449  7 N 2.58-2.79
Ac: 0.7500 0.7868 0.7551  7 N 2.58-2.79
Ti: 0.2500 0.6696 0.1480  6 N 2.03-2.18
Ti: 0.7500 0.3304 0.8520  6 N 2.03-2.18
Be: 0.2500 0.0860 0.6069  4 N 1.70-1.83
Be: 0.7500 0.9140 0.3931  4 N 1.70-1.83
N: 0.7500 0.8672 0.1399  1 Be 1.70
N: 0.2500 0.1328 0.8601  1 Be 1.70
N: 0.2500 0.8281 0.4593  3 Be 1.75-1.83
N: 0.7500 0.1719 0.5407  3 Be 1.75-1.83
N: 0.7500 0.4602 0.1558  3 Ti 2.03-2.18
N: 0.2500 0.5398 0.8442  3 Ti 2.03-2.18

ΔE_f (raw), eV per atom: -1.22
N(E_F), states/eV per cell: 0.09
Calculated total energy, eV/atom: -8.002
Crystal system: monoclinic

---

# 2
Entry from Alexandria via LeMat-Bulk: crystalline TePICl2 at its relaxed geometry (GGA-PBE).

Cell: 5.1029 5.1029 5.6554 Å, 90.00 90.00 90.00°
Last column: nearest neighbours and their distance in Å.
Fractional coordinates of all 5 atoms:
I: 0.5000 0.5000 0.5000  4 P 3.61, 8 Cl 3.81
P: 0.0000 0.0000 0.5000  2 Te 2.83
Te: 0.0000 0.0000 0.0000  4 Cl 2.55, 2 P 2.83
Cl: 0.0000 0.5000 0.0000  2 Te 2.55
Cl: 0.5000 0.0000 0.0000  2 Te 2.55

Polymorph energy (0 for the lowest one), eV per formula unit: 0.00
ΔE_f (raw), eV per atom: 0.29
N(E_F), states/eV per cell: 1.93
Calculated total energy, eV/atom: -2.470
Crystal system: tetragonal

---

# 3
Entry from Alexandria via LeMat-Bulk: crystalline In4CuCl at its relaxed geometry (GGA-PBE).

Cell: 6.1401 6.1401 6.1401 Å, 60.00 60.00 60.00°
Last column: nearest neighbours and their distance in Å.
Fractional coordinates of all 6 atoms:
In: 0.8761 0.3746 0.3746  6 In 3.06-3.08
In: 0.3746 0.3746 0.8761  6 In 3.06-3.08
In: 0.3746 0.8761 0.3746  6 In 3.06-3.08
In: 0.3746 0.3746 0.3746  6 In 3.06-3.08
Cu: 0.0000 0.0000 0.0000  12 In 3.60, 4 Cl 3.76
Cl: 0.7500 0.7500 0.7500  12 In 3.60, 4 Cu 3.76

ΔE_f (raw), eV per atom: 0.22
N(E_F), states/eV per cell: 2.13
Calculated total energy, eV/atom: -2.599
Crystal system: cubic

---

# 4
Entry from Alexandria via LeMat-Bulk: crystalline BaVHg2N at its relaxed geometry (GGA-PBE).

Cell: 5.9045 3.7318 5.9045 Å, 90.00 90.00 90.00°
Last column: nearest neighbours and their distance in Å.
Fractional coordinates of all 5 atoms:
N: 0.0000 0.0000 0.0000  2 V 1.87
V: 0.0000 0.5000 0.0000  2 N 1.87
Hg: 0.0000 0.0000 0.5000  2 N 2.95
Hg: 0.5000 0.0000 0.0000  2 N 2.95
Ba: 0.5000 0.5000 0.5000  8 Hg 3.49, 2 Ba 3.73

ΔE_f (raw), eV per atom: 0.24
N(E_F), states/eV per cell: 5.88
Calculated total energy, eV/atom: -3.757
Crystal system: tetragonal

---

# 5
Entry from Alexandria via LeMat-Bulk: crystalline Dy5Si2Te2 at its relaxed geometry (GGA-PBE).

Cell: 7.7711 7.8148 8.5385 Å, 90.00 62.93 90.00°
Last column: nearest neighbours and their distance in Å.
Fractional coordinates of all 18 atoms:
Dy: 0.0000 0.0000 0.0000  4 Si 3.03-3.06, 2 Te 3.12
Dy: 0.5000 0.5000 0.0000  4 Si 3.03-3.06, 2 Te 3.12
Dy: 0.4594 0.1656 0.7518  3 Si 2.92-3.00, 3 Te 3.16-3.17
Dy: 0.7889 0.8344 0.7518  3 Si 2.92-3.00, 3 Te 3.16-3.17
Dy: 0.2889 0.6656 0.7518  3 Si 2.92-3.00, 3 Te 3.16-3.17
Dy: 0.9594 0.3344 0.7518  3 Si 2.92-3.00, 3 Te 3.16-3.17
Dy: 0.5406 0.8344 0.2482  3 Si 2.92-3.00, 3 Te 3.16-3.17
Dy: 0.2111 0.1656 0.2482  3 Si 2.92-3.00, 3 Te 3.16-3.17
Dy: 0.7111 0.3344 0.2482  3 Si 2.92-3.00, 3 Te 3.16-3.17
Dy: 0.0406 0.6656 0.2482  3 Si 2.92-3.00, 3 Te 3.16-3.17
Si: 0.1336 0.3681 0.0000  8 Dy 2.92-3.06, 1 Si 2.93
Si: 0.8664 0.6319 0.0000  8 Dy 2.92-3.06, 1 Si 2.93
Si: 0.3664 0.8681 0.0000  8 Dy 2.92-3.06, 1 Si 2.93
Si: 0.6336 0.1319 0.0000  8 Dy 2.92-3.06, 1 Si 2.93
Te: 0.2054 0.0000 0.5893  7 Dy 3.12-3.17
Te: 0.7054 0.5000 0.5893  7 Dy 3.12-3.17
Te: 0.7946 0.0000 0.4107  7 Dy 3.12-3.17
Te: 0.2946 0.5000 0.4107  7 Dy 3.12-3.17

ΔE_f (raw), eV per atom: -1.01
N(E_F), states/eV per cell: 16.46
Calculated total energy, eV/atom: -5.465
Crystal system: orthorhombic

---

# 6
Entry from Alexandria via LeMat-Bulk: crystalline TlCdGa2Au at its relaxed geometry (GGA-PBE).

Cell: 5.0322 5.0322 5.3508 Å, 90.00 90.00 90.00°
Last column: nearest neighbours and their distance in Å.
Fractional coordinates of all 5 atoms:
Tl: 0.5000 0.5000 0.5000  4 Cd 3.56, 8 Ga 3.67
Au: 0.0000 0.0000 0.0000  4 Ga 2.52, 2 Cd 2.68
Ga: 0.0000 0.5000 0.0000  2 Au 2.52
Ga: 0.5000 0.0000 0.0000  2 Au 2.52
Cd: 0.0000 0.0000 0.5000  2 Au 2.68

Energy relative to the elements, kJ/mol of formula units: 42
N(E_F), states/eV per cell: 2.70
Calculated total energy, eV/atom: -2.435
Crystal system: tetragonal

---

# 7
Entry from Alexandria via LeMat-Bulk: crystalline Li4TlO3 at its relaxed geometry (GGA-PBE).

Cell: 5.0215 6.1646 7.1880 Å, 106.02 90.00 114.03°
Last column: nearest neighbours and their distance in Å.
Fractional coordinates of all 16 atoms:
Tl: 0.6921 0.9733 0.7170  4 O 2.33-2.40
Tl: 0.2811 0.9733 0.2170  4 O 2.33-2.40
O: 0.6740 0.3654 0.8413  5 Li 1.91-2.08
O: 0.6914 0.3654 0.3413  5 Li 1.91-2.08
O: 0.2808 0.5754 0.5888  4 Li 1.91-2.01
O: 0.2946 0.5754 0.0888  4 Li 1.91-2.01
O: 0.0058 0.9430 0.9419  2 Li 1.92
O: 0.9372 0.9430 0.4419  2 Li 1.92
Li: 0.3049 0.2598 0.9416  3 O 1.91-1.96
Li: 0.9550 0.2598 0.4416  3 O 1.91-1.96
Li: 0.5028 0.3820 0.5988  3 O 1.95-2.08
Li: 0.8792 0.3820 0.0988  3 O 1.95-2.08
Li: 0.0887 0.5990 0.8344  3 O 2.00-2.17
Li: 0.5103 0.5990 0.3344  3 O 2.00-2.17
Li: 0.0210 0.6818 0.4860  3 O 1.91-1.97
Li: 0.6608 0.6818 0.9860  3 O 1.91-1.97

ΔE_f (raw), eV per atom: -1.45
N(E_F), states/eV per cell: 1.59
Calculated total energy, eV/atom: -4.564
Crystal system: monoclinic

---

# 8
Entry from Alexandria via LeMat-Bulk: crystalline MnHgTe2 at its relaxed geometry (GGA-PBE).

Cell: 3.2874 3.2874 10.0258 Å, 90.00 90.00 104.17°
Last column: nearest neighbours and their distance in Å.
Fractional coordinates of all 4 atoms:
Hg: 0.0000 0.0000 0.5424  2 Mn 2.86
Mn: 0.5000 0.5000 0.7439  2 Te 2.71, 2 Hg 2.86
Te: 0.0000 0.0000 0.9241  2 Mn 2.71
Te: 0.5000 0.5000 0.2896  4 Hg 3.24-3.63, 4 Te 3.29

ΔE_f (raw), eV per atom: 0.20
N(E_F), states/eV per cell: 2.34
Calculated total energy, eV/atom: -3.742
Crystal system: orthorhombic

---

# 9
Entry from Alexandria via LeMat-Bulk: crystalline Sn2SbS4 at its relaxed geometry (GGA-PBE).

Cell: 6.0174 6.0174 9.8752 Å, 90.00 90.00 104.49°
Last column: nearest neighbours and their distance in Å.
Fractional coordinates of all 14 atoms:
Sn: 0.1522 0.8040 0.0000  4 S 2.64-2.86
Sn: 0.8478 0.1960 0.0000  4 S 2.64-2.86
Sn: 0.1960 0.8478 0.5000  4 S 2.64-2.86
Sn: 0.8040 0.1522 0.5000  4 S 2.64-2.86
Sb: 0.5000 0.5000 0.2500  8 S 2.83-3.06
Sb: 0.5000 0.5000 0.7500  8 S 2.83-3.06
S: 0.5689 0.7360 0.0000  2 Sn 2.64-2.86, 1 S 2.75, 2 Sb 2.83
S: 0.4311 0.2640 0.0000  2 Sn 2.64-2.86, 1 S 2.75, 2 Sb 2.83
S: 0.2640 0.4311 0.5000  2 Sn 2.64-2.86, 1 S 2.75, 2 Sb 2.83
S: 0.7360 0.5689 0.5000  2 Sn 2.64-2.86, 1 S 2.75, 2 Sb 2.83
S: 0.5000 0.0000 0.3039  2 Sn 2.66
S: 0.0000 0.5000 0.1961  2 Sn 2.66
S: 0.5000 0.0000 0.6961  2 Sn 2.66
S: 0.0000 0.5000 0.8039  2 Sn 2.66

Polymorph energy (0 for the lowest one), eV per formula unit: 1.10
ΔE_f (raw), eV per atom: -0.12
N(E_F), states/eV per cell: 5.28
Calculated total energy, eV/atom: -4.210
Crystal system: orthorhombic

---

# 10
Entry from Alexandria via LeMat-Bulk: crystalline TaTcIr6 at its relaxed geometry (GGA-PBE).

Cell: 3.8931 5.5202 5.5202 Å, 89.99 90.00 90.00°
Last column: nearest neighbours and their distance in Å.
Fractional coordinates of all 8 atoms:
Ta: 0.5000 0.0000 0.0000  12 Ir 2.76-2.78
Tc: 0.5000 0.5000 0.5000  12 Ir 2.73-2.76
Ir: 0.0000 0.7449 0.2551  8 Ir 2.70-2.82, 2 Tc 2.73, 2 Ta 2.78
Ir: 0.0000 0.2551 0.7449  8 Ir 2.70-2.82, 2 Tc 2.73, 2 Ta 2.78
Ir: 0.0000 0.7449 0.7449  8 Ir 2.70-2.82, 2 Tc 2.73, 2 Ta 2.78
Ir: 0.0000 0.2551 0.2551  8 Ir 2.70-2.82, 2 Tc 2.73, 2 Ta 2.78
Ir: 0.5000 0.5000 0.0000  8 Ir 2.76, 2 Ta 2.76, 2 Tc 2.76
Ir: 0.5000 0.0000 0.5000  8 Ir 2.76, 2 Tc 2.76, 2 Ta 2.76

Energy relative to the elements, kJ/mol of formula units: -278
N(E_F), states/eV per cell: 6.25
Calculated total energy, eV/atom: -9.784
Crystal system: tetragonal

---

# 11
Entry from Alexandria via LeMat-Bulk: crystalline ThSc2Tl at its relaxed geometry (GGA-PBE).

Cell: 4.5324 4.7754 4.7754 Å, 90.00 90.00 90.00°
Last column: nearest neighbours and their distance in Å.
Fractional coordinates of all 4 atoms:
Sc: 0.0000 0.0000 0.5000  4 Tl 3.29, 4 Th 3.29, 4 Sc 3.38
Sc: 0.0000 0.5000 0.0000  4 Tl 3.29, 4 Th 3.29, 4 Sc 3.38
Tl: 0.5000 0.0000 0.0000  8 Sc 3.29, 4 Th 3.38
Th: 0.5000 0.5000 0.5000  8 Sc 3.29, 4 Tl 3.38

Energy relative to the elements, kJ/mol of formula units: -41
Polymorph energy (0 for the lowest one), eV per formula unit: 0.25
N(E_F), states/eV per cell: 5.45
Calculated total energy, eV/atom: -5.719
Crystal system: tetragonal

---

# 12
Entry from Alexandria via LeMat-Bulk: crystalline AlMo4W at its relaxed geometry (GGA-PBE).

Cell: 5.1879 5.1879 5.1879 Å, 60.00 60.00 60.00°
Last column: nearest neighbours and their distance in Å.
Fractional coordinates of all 6 atoms:
Al: 0.0000 0.0000 0.0000  12 Mo 3.04, 4 W 3.18
Mo: 0.8753 0.3749 0.3749  6 Mo 2.59-2.60
Mo: 0.3749 0.3749 0.8753  6 Mo 2.59-2.60
Mo: 0.3749 0.8753 0.3749  6 Mo 2.59-2.60
Mo: 0.3749 0.3749 0.3749  6 Mo 2.59-2.60
W: 0.7500 0.7500 0.7500  12 Mo 3.04, 4 Al 3.18

Energy relative to the elements, kJ/mol of formula units: 124
Polymorph energy (0 for the lowest one), eV per formula unit: 1.83
N(E_F), states/eV per cell: 2.75
Calculated total energy, eV/atom: -9.790
Crystal system: cubic